1.
The following is a DFT calculation (PBE) of a relaxed structure of Cd4CuPt5.

Magnetization (Bohr magnetons per cell): 0.0
Energy relative to the elements (eV per formula unit): -2.80

a = 3.0111 Å, b = 3.0111 Å, c = 18.6074 Å
α = 90.00°, β = 90.00°, γ = 90.00°
Closest atoms and distances in Å follow each position.
Space group P4/mmm (No. 123)
Inequivalent atoms, fractional coordinates:
Cd (0.0000, 0.0000, 0.1045) [2 per cell]  8 Pt 2.88, 4 Cd 3.01
Cd (0.0000, 0.0000, 0.3130) [2 per cell]  8 Pt 2.88-2.89, 4 Cd 3.01
Cu (0.0000, 0.0000, 0.5000) [1 per cell]  8 Pt 2.63
Pt (0.5000, 0.5000, 0.0000) [1 per cell]  8 Cd 2.88, 4 Pt 3.01
Pt (0.5000, 0.5000, 0.2084) [2 per cell]  8 Cd 2.88-2.89, 4 Pt 3.01
Pt (0.5000, 0.5000, 0.4169) [2 per cell]  4 Cu 2.63, 4 Cd 2.88

***

2.
The following is a DFT calculation (PBE) of a relaxed structure of Cd2Cu2Pt.

Magnetization (Bohr magnetons per cell): 0.0
Energy relative to the elements (eV per formula unit): -0.03

a = 6.6460 Å, b = 6.6460 Å, c = 3.7778 Å
α = 90.00°, β = 90.00°, γ = 90.00°
Closest atoms and distances in Å follow each position.
Space group P4/mbm (No. 127)
Inequivalent atoms, fractional coordinates:
Cd (0.1735, 0.3265, 0.0000) [4 per cell]  6 Cu 2.65-2.77
Cu (0.1285, 0.6285, 0.5000) [4 per cell]  1 Cu 2.42, 2 Pt 2.61, 2 Cd 2.65
Pt (0.0000, 0.0000, 0.5000) [2 per cell]  4 Cu 2.61

***

3.
The following is a DFT calculation (PBE) of a relaxed structure of Cd2CuPt.

Magnetization (Bohr magnetons per cell): 0.0
Energy relative to the elements (eV per formula unit): -0.36

a = 6.4947 Å, b = 6.4947 Å, c = 6.4947 Å
α = 90.00°, β = 90.00°, γ = 90.00°
Closest atoms and distances in Å follow each position.
Space group F-43m (No. 216)
Inequivalent atoms, fractional coordinates:
Cd (0.0000, 0.0000, 0.0000) [4 per cell]  4 Cd 2.81, 4 Cu 2.81
Cd (0.2500, 0.2500, 0.2500) [4 per cell]  4 Cd 2.81, 4 Pt 2.81
Cu (0.2500, 0.2500, 0.7500) [4 per cell]  4 Cd 2.81, 4 Pt 2.81
Pt (0.0000, 0.0000, 0.5000) [4 per cell]  4 Cu 2.81, 4 Cd 2.81

***

4.
The following is a DFT calculation (PBE) of a relaxed structure of Cd2CuPt.

Magnetization (Bohr magnetons per cell): 0.0
Energy relative to the elements (eV per formula unit): -0.51

a = 5.9004 Å, b = 7.8565 Å, c = 2.9652 Å
α = 90.00°, β = 90.00°, γ = 90.00°
Closest atoms and distances in Å follow each position.
Space group Cmmm (No. 65)
Inequivalent atoms, fractional coordinates:
Cd (0.2500, 0.2500, 0.0000) [4 per cell]  4 Cu 2.87, 4 Pt 2.87, 4 Cd 2.95-2.97
Cu (0.0000, 0.0000, 0.5000) [2 per cell]  8 Cd 2.87, 2 Pt 2.95, 2 Cu 2.97
Pt (0.0000, 0.5000, 0.5000) [2 per cell]  8 Cd 2.87, 2 Cu 2.95, 2 Pt 2.97

***

5.
The following is a DFT calculation (PBE) of a relaxed structure of Cd4CuPt.

Magnetization (Bohr magnetons per cell): 0.0
Energy relative to the elements (eV per formula unit): 1.62

a = 7.8040 Å, b = 7.8040 Å, c = 7.8040 Å
α = 90.00°, β = 90.00°, γ = 90.00°
Closest atoms and distances in Å follow each position.
Space group F-43m (No. 216)
Inequivalent atoms, fractional coordinates:
Cd (0.1251, 0.1251, 0.1251) [16 per cell]  6 Cd 2.76
Cu (0.2500, 0.2500, 0.7500) [4 per cell]  12 Cd 3.24, 4 Pt 3.38
Pt (0.0000, 0.0000, 0.5000) [4 per cell]  12 Cd 3.24, 4 Cu 3.38

***

6.
The following is a DFT calculation (PBE) of a relaxed structure of CdCu2Pt2.

Magnetization (Bohr magnetons per cell): 0.0
Energy relative to the elements (eV per formula unit): -0.59

a = 7.2958 Å, b = 7.2958 Å, c = 2.9022 Å
α = 90.00°, β = 90.00°, γ = 90.00°
Closest atoms and distances in Å follow each position.
Space group P4/mbm (No. 127)
Inequivalent atoms, fractional coordinates:
Cd (0.0000, 0.0000, 0.0000) [2 per cell]  4 Cu 2.89, 2 Cd 2.90, 8 Pt 3.07
Cu (0.1230, 0.3770, 0.0000) [4 per cell]  1 Cu 2.54, 6 Pt 2.56-2.62
Pt (0.1724, 0.6724, 0.5000) [4 per cell]  6 Cu 2.56-2.62

***

7.
The following is a DFT calculation (PBE) of a relaxed structure of Cd5CuPt6.

Magnetization (Bohr magnetons per cell): 0.0
Energy relative to the elements (eV per formula unit): -3.47

a = 4.1906 Å, b = 7.7732 Å, c = 12.5403 Å
α = 90.00°, β = 90.00°, γ = 90.00°
Closest atoms and distances in Å follow each position.
Space group Immm (No. 71)
Inequivalent atoms, fractional coordinates:
Cd (0.0000, 0.0000, 0.0000) [2 per cell]  8 Pt 2.85-2.90, 4 Cd 2.96
Cd (0.0000, 0.0000, 0.3362) [4 per cell]  8 Pt 2.79-2.94, 2 Cu 2.93, 2 Cd 2.99
Cd (0.0000, 0.5000, 0.3334) [4 per cell]  8 Pt 2.86-2.89, 4 Cd 2.96-2.99
Cu (0.0000, 0.5000, 0.0000) [2 per cell]  8 Pt 2.80-2.82, 4 Cd 2.93
Pt (0.0000, 0.2426, 0.5000) [4 per cell]  6 Cd 2.79-2.90, 2 Cu 2.82, 4 Pt 2.93
Pt (0.0000, 0.2547, 0.1631) [8 per cell]  1 Cu 2.80, 7 Cd 2.83-2.94, 4 Pt 2.93-3.02

***

8.
The following is a DFT calculation (PBE) of a relaxed structure of Cd2CuPt.

Magnetization (Bohr magnetons per cell): 0.0
Energy relative to the elements (eV per formula unit): -0.41

a = 2.9405 Å, b = 3.6338 Å, c = 6.5754 Å
α = 90.00°, β = 90.00°, γ = 90.00°
Closest atoms and distances in Å follow each position.
Space group Pmm2 (No. 25)
Inequivalent atoms, fractional coordinates:
Cd (0.0000, 0.0000, 0.0000) [1 per cell]  4 Pt 2.86, 1 Cu 2.94, 6 Cd 2.94-3.12
Cd (0.5000, 0.5000, 0.3150) [1 per cell]  4 Cu 2.81, 1 Pt 2.86, 6 Cd 2.94-3.12
Cu (0.0000, 0.0000, 0.5530) [1 per cell]  4 Pt 2.67, 5 Cd 2.81-2.94, 2 Cu 2.94
Pt (0.5000, 0.5000, 0.7496) [1 per cell]  4 Cu 2.67, 5 Cd 2.86, 2 Pt 2.94